# 1
# Al3CuNi

A PBEsol-optimized structure of Al3CuNi (meta-GGA SCAN, the Alexandria database).

POSCAR file:
```
Al3CuNi
1.0
-0.3932 -4.1022 -4.1249
-2.8638 -3.4621 3.7161
-5.0637 2.2766 -1.7814
Al Cu Ni
9 3 3
direct
0.5000 0.5000 0.5000
0.2319 0.2319 0.2319
0.7681 0.7681 0.2319
0.7681 0.2319 0.7681
0.2319 0.7681 0.7681
0.2319 0.2319 0.7681
0.7681 0.7681 0.7681
0.2319 0.7681 0.2319
0.7681 0.2319 0.2319
0.0000 0.5000 0.5000
0.5000 0.0000 0.5000
0.5000 0.5000 0.0000
0.5000 0.0000 0.0000
0.0000 0.5000 0.0000
0.0000 0.0000 0.5000
```

**Total DFT energy (no corrections)**: -56.7 eV per formula unit
**SG**: No. 221


# 2
# Ho3Sc2S7

A PBEsol-optimized structure of Ho3Sc2S7 (meta-GGA SCAN, the Alexandria database).

POSCAR file:
```
Ho3Sc2S7
1.0
-2.5259 1.6321 2.1165
-3.1067 -2.6140 -4.8866
0.8339 -8.3631 7.4443
Ho Sc S
3 2 7
direct
0.2991 0.5982 0.1852
0.6974 0.3948 0.8071
0.1126 0.2252 0.4250
0.8881 0.7761 0.5804
0.9983 0.9966 0.9972
0.9653 0.9305 0.2091
0.0310 0.0621 0.7851
0.2653 0.5306 0.6484
0.7475 0.4950 0.3562
0.6525 0.3050 0.0467
0.3436 0.6873 0.9491
0.4993 0.9985 0.5105
```

**Formation energy without anion corrections**: -2.300 eV per atom
**Total DFT energy (no corrections)**: -270.4 eV per formula unit
**SG**: No. 8


# 3
# Ho3Ga9Pd2

A PBEsol-optimized structure of Ho3Ga9Pd2 (meta-GGA SCAN, the Alexandria database).

POSCAR file:
```
Ho3Ga9Pd2
1.0
4.2105 0.0000 0.0000
2.1052 7.7369 -0.0214
2.1052 2.1283 7.4385
Ho Ga Pd
3 9 2
direct
0.5000 0.5000 0.5000
0.8011 0.1989 0.1989
0.1989 0.8011 0.8011
0.6382 0.6435 0.0802
0.3618 0.3565 0.9198
0.6382 0.0802 0.6435
0.3618 0.9198 0.3565
0.8439 0.5234 0.7887
0.1561 0.4766 0.2113
0.8439 0.7887 0.5234
0.1561 0.2113 0.4766
0.5000 0.0000 0.0000
0.0000 0.1862 0.8138
0.0000 0.8138 0.1862
```

**Total DFT energy (no corrections)**: -370.0 eV per formula unit
**SG**: No. 71


# 4
# Zr2CdHg

A PBEsol-optimized structure of Zr2CdHg (meta-GGA SCAN, the Alexandria database).

POSCAR file:
```
Zr2CdHg
1.0
4.2248 0.0000 0.0000
0.0000 4.2248 0.0000
-2.1124 -2.1124 4.6175
Cd Hg Zr
1 1 2
direct
0.5000 0.5000 0.0000
0.2500 0.7500 0.5000
0.0000 0.0000 0.0000
0.7500 0.2500 0.5000
```

**Excess energy over the best structure of this formula in the dataset**: 0.513 eV/f.u.
**Total DFT energy (no corrections)**: -160.6 eV per formula unit
**SG**: No. 119


# 5
# HfSbTe2P

A PBEsol-optimized structure of HfSbTe2P (meta-GGA SCAN, the Alexandria database).

POSCAR file:
```
HfSbTe2P
1.0
-2.9973 4.3724 -0.9593
-3.8872 -3.1148 -2.0518
-2.2807 -0.4617 5.0217
Sb Te Hf P
1 2 1 1
direct
0.0000 0.0000 0.5000
0.0000 0.5000 0.0000
0.5000 0.0000 0.0000
0.0000 0.0000 0.0000
0.5000 0.5000 0.5000
```

**Formation energy without anion corrections**: 0.574 eV per atom
**Total DFT energy (no corrections)**: -182.0 eV per formula unit
**SG**: No. 123


# 6
# In3CoAg

A PBEsol-optimized structure of In3CoAg (meta-GGA SCAN, the Alexandria database).

POSCAR file:
```
In3CoAg
1.0
-1.2014 -4.5131 -2.0923
3.8465 0.5221 -3.3348
3.1544 -2.3555 3.2696
Co Ag In
1 1 3
direct
0.5000 0.5000 0.5000
0.0000 0.0000 0.0000
0.0000 0.5000 0.0000
0.0000 0.0000 0.5000
0.5000 0.0000 0.0000
```

**Total DFT energy (no corrections)**: -144.3 eV per formula unit
**SG**: No. 221


# 7
# Ti5Pb5O14

A PBEsol-optimized structure of Ti5Pb5O14 (meta-GGA SCAN, the Alexandria database).

POSCAR file:
```
Ti5Pb5O14
1.0
5.6785 -0.2669 0.1693
0.4471 6.8498 0.2062
2.6209 1.6231 8.1212
Ti Pb O
5 5 14
direct
0.7909 0.7049 0.3982
0.1791 0.3156 0.5938
0.3970 0.0967 0.2008
0.9979 0.4893 0.0053
0.6175 0.8782 0.8088
0.3755 0.5840 0.2044
0.1918 0.7947 0.6078
0.5678 0.3630 0.7980
0.7544 0.1856 0.4229
0.9915 0.9850 0.0090
0.1308 0.9205 0.2888
0.2370 0.3229 0.0867
0.6300 0.9241 0.2892
0.0274 0.5278 0.4878
0.5218 0.5274 0.4865
0.7296 0.3194 0.0922
0.1410 0.4206 0.7876
0.3290 0.7296 0.8856
0.3358 0.2237 0.3908
0.9396 0.6282 0.1862
0.7298 0.8307 0.5870
0.8440 0.7198 0.8894
0.9443 0.1110 0.6942
0.5346 0.0229 0.9863
```

**Formation energy without anion corrections**: -2.397 eV per atom
**Total DFT energy (no corrections)**: -603.8 eV per formula unit
**SG**: No. 1


# 8
# ZrInW2

A PBEsol-optimized structure of ZrInW2 (meta-GGA SCAN, the Alexandria database).

POSCAR file:
```
ZrInW2
1.0
-2.8038 0.1244 -0.7234
-0.7917 -0.2359 -2.7780
-1.9075 -9.9490 -0.1234
In W Zr
1 2 1
direct
0.2540 0.2540 0.2381
0.0023 0.0023 0.9932
0.7458 0.7458 0.7627
0.4980 0.4980 0.5061
```

**Total DFT energy (no corrections)**: -201.4 eV per formula unit
**SG**: No. 160


# 9
# Rb2MgTl

A PBEsol-optimized structure of Rb2MgTl (meta-GGA SCAN, the Alexandria database).

POSCAR file:
```
Rb2MgTl
1.0
6.2581 0.0000 0.0000
3.1290 5.4197 0.0000
3.1290 1.8066 5.1097
Tl Mg Rb
1 1 2
direct
0.5000 0.5000 0.5000
0.0000 0.0000 0.0000
0.2500 0.2500 0.2500
0.7500 0.7500 0.7500
```

**Total DFT energy (no corrections)**: -118.1 eV per formula unit
**SG**: No. 225


# 10
# MgCuAu2

A PBEsol-optimized structure of MgCuAu2 (meta-GGA SCAN, the Alexandria database).

POSCAR file:
```
MgCuAu2
1.0
-0.8974 -1.5285 -3.7455
1.9386 -2.9410 3.0279
-2.5222 -2.7881 1.7422
Mg Au Cu
1 2 1
direct
0.5000 0.0000 0.5000
0.7500 0.5000 0.7500
0.2500 0.5000 0.2500
0.0000 0.0000 0.0000
```

**Total DFT energy (no corrections)**: -160.2 eV per formula unit
**SG**: No. 139


# 11
# EuCu3Pd2

A PBEsol-optimized structure of EuCu3Pd2 (meta-GGA SCAN, the Alexandria database).

POSCAR file:
```
EuCu3Pd2
1.0
4.2076 0.0000 0.0000
0.0000 5.1198 0.0000
0.0000 -2.5599 4.4339
Eu Cu Pd
1 3 2
direct
0.0000 0.0000 0.0000
0.5000 0.0000 0.5000
0.5000 0.5000 0.0000
0.5000 0.5000 0.5000
0.0000 0.6667 0.3333
0.0000 0.3333 0.6667
```

**Total DFT energy (no corrections)**: -167.0 eV per formula unit
**SG**: No. 191


# 12
# Y2ReRu

A PBEsol-optimized structure of Y2ReRu (meta-GGA SCAN, the Alexandria database).

POSCAR file:
```
Y2ReRu
1.0
-2.5908 0.3600 1.6811
0.1550 -4.3294 -1.7095
3.0157 -0.8466 4.8291
Re Ru Y
1 1 2
direct
0.0000 0.0000 0.5000
0.5000 0.0000 0.0000
0.7532 0.5063 0.7542
0.2468 0.4937 0.2458
```

**Excess energy over the best structure of this formula in the dataset**: 2.154 eV/f.u.
**Total DFT energy (no corrections)**: -160.0 eV per formula unit
**SG**: No. 12


# 13
# CdInHg2

A PBEsol-optimized structure of CdInHg2 (meta-GGA SCAN, the Alexandria database).

POSCAR file:
```
CdInHg2
1.0
-3.5002 -0.9099 -3.5939
-3.8573 -3.1962 0.9494
-4.7363 1.8092 0.5382
In Hg Cd
1 2 1
direct
0.2500 0.2500 0.2500
0.0000 0.0000 0.0000
0.7500 0.7500 0.7500
0.5000 0.5000 0.5000
```

**Total DFT energy (no corrections)**: -199.9 eV per formula unit
**SG**: No. 216


# 14
# SrIrPt2

A PBEsol-optimized structure of SrIrPt2 (meta-GGA SCAN, the Alexandria database).

POSCAR file:
```
SrIrPt2
1.0
4.1654 0.0000 0.0000
0.0000 4.1654 0.0000
-2.0827 -2.0827 4.0646
Ir Pt Sr
1 2 1
direct
0.0000 0.0000 0.0000
0.7500 0.2500 0.5000
0.2500 0.7500 0.5000
0.5000 0.5000 0.0000
```

**Excess energy over the best structure of this formula in the dataset**: 0.682 eV/f.u.
**Total DFT energy (no corrections)**: -233.2 eV per formula unit
**SG**: No. 139


# 15
# AlPS4

A PBEsol-optimized structure of AlPS4 (meta-GGA SCAN, the Alexandria database).

POSCAR file:
```
AlPS4
1.0
5.6576 0.0000 0.0000
0.0000 5.6594 0.0000
0.0000 0.0000 9.6521
P S Al
2 8 2
direct
0.0000 0.5000 0.0000
0.0000 0.0000 0.5000
0.2083 0.2764 0.1159
0.2083 0.7236 0.8841
0.7917 0.2764 0.8841
0.7917 0.7236 0.1159
0.7759 0.7952 0.6181
0.7759 0.2048 0.3819
0.2241 0.7952 0.3819
0.2241 0.2048 0.6181
0.0000 0.0000 0.0000
0.5000 0.0000 0.5000
```

**Formation energy without anion corrections**: -0.695 eV per atom
**Total DFT energy (no corrections)**: -60.8 eV per formula unit
**SG**: No. 16


# 16
# LiNdTiO4

A PBEsol-optimized structure of LiNdTiO4 (meta-GGA SCAN, the Alexandria database).

POSCAR file:
```
LiNdTiO4
1.0
-1.0498 -1.5814 -3.1841
-2.1168 -2.3893 1.8846
-9.2726 7.6354 -0.7349
Li Nd Ti O
2 2 2 8
direct
0.5000 0.5000 0.5000
0.0000 0.0000 0.5000
0.0000 0.5000 0.1162
0.5000 0.0000 0.8838
0.0000 0.5000 0.7095
0.5000 0.0000 0.2905
0.0000 0.5000 0.9238
0.5000 0.0000 0.0762
0.0000 0.5000 0.5610
0.5000 0.0000 0.4390
0.0000 0.0000 0.7504
0.5000 0.5000 0.7504
0.5000 0.5000 0.2496
0.0000 0.0000 0.2496
```

**Formation energy without anion corrections**: -3.320 eV per atom
**Total DFT energy (no corrections)**: -110.2 eV per formula unit
**SG**: No. 129


# 17
# InSiNi2

A PBEsol-optimized structure of InSiNi2 (meta-GGA SCAN, the Alexandria database).

POSCAR file:
```
InSiNi2
1.0
-0.4064 2.4331 1.5617
-2.3808 1.6330 -0.4347
-4.7213 -2.7382 5.7666
In Ni Si
1 2 1
direct
0.2559 0.2559 0.2323
0.0083 0.0083 0.9752
0.7524 0.7524 0.7428
0.4834 0.4834 0.5497
```

**Formation energy without anion corrections**: 0.251 eV per atom
**Total DFT energy (no corrections)**: -74.7 eV per formula unit
**SG**: No. 160


# 18
# Pr6Ge3S14

A PBEsol-optimized structure of Pr6Ge3S14 (meta-GGA SCAN, the Alexandria database).

POSCAR file:
```
Pr6Ge3S14
1.0
5.7308 0.0000 0.0000
0.0000 10.1939 0.0000
0.0000 -5.0970 8.8282
Pr Ge S
6 3 14
direct
0.2435 0.6915 0.7920
0.2435 0.2080 0.8995
0.2435 0.1005 0.3085
0.7518 0.9746 0.5402
0.7518 0.4598 0.4345
0.7518 0.5655 0.0254
0.8244 0.0000 0.0000
0.3332 0.6667 0.3333
0.4864 0.3333 0.6667
0.9813 0.8510 0.0794
0.9813 0.9206 0.7717
0.9813 0.2283 0.1490
0.4874 0.8155 0.2534
0.4874 0.7466 0.5621
0.4874 0.4379 0.1845
0.4442 0.0000 0.0000
0.9523 0.6667 0.3333
0.7293 0.5889 0.7577
0.7293 0.2423 0.8312
0.7293 0.1688 0.4111
0.2408 0.0768 0.5779
0.2408 0.4221 0.4989
0.2408 0.5011 0.9232
```

**Formation energy without anion corrections**: -1.702 eV per atom
**Total DFT energy (no corrections)**: -491.2 eV per formula unit
**SG**: No. 143


# 19
# KZrAl2

A PBEsol-optimized structure of KZrAl2 (meta-GGA SCAN, the Alexandria database).

POSCAR file:
```
KZrAl2
1.0
3.1087 0.0000 0.0000
1.5544 2.6923 0.0000
1.5544 0.8974 10.7424
K Al Zr
1 2 1
direct
0.5000 0.5000 0.5000
0.2596 0.2596 0.2213
0.7404 0.7404 0.7787
0.0000 0.0000 0.0000
```

**Excess energy over the best structure of this formula in the dataset**: 0.000 eV/f.u.
**Total DFT energy (no corrections)**: -53.8 eV per formula unit
**SG**: No. 166


# 20
# LiCd5

A PBEsol-optimized structure of LiCd5 (meta-GGA SCAN, the Alexandria database).

POSCAR file:
```
LiCd5
1.0
5.6535 0.0000 0.0000
2.8268 4.8961 0.0000
2.8268 1.6320 4.6161
Cd Li
5 1
direct
0.2500 0.2500 0.2500
0.6252 0.1245 0.6252
0.6252 0.6252 0.6252
0.1245 0.6252 0.6252
0.6252 0.6252 0.1245
0.0000 0.0000 0.0000
```

**Excess energy over the best structure of this formula in the dataset**: 0.527 eV/f.u.
**Total DFT energy (no corrections)**: -154.7 eV per formula unit
**SG**: No. 216